# 1
A plane-wave DFT calculation with PBE-GGA was carried out for a relaxed structure of Er2Ga4Cu3.

Magnetization in μB per formula unit: 0.000
Density of states at the Fermi level in states/eV/atom: 0.595
Crystal system: orthorhombic
Energy relative to the elements in eV/atom: -0.415

Cell lengths 7.940, 7.940, 7.457 Å; angles 90.00, 90.00, 138.87 degrees
Positions (direct):
Er  0.108  0.892  0.903
Er  0.392  0.608  0.403
Er  0.608  0.392  0.597
Er  0.892  0.108  0.097
Ga  0.178  0.822  0.516
Ga  0.187  0.313  0.750
Ga  0.313  0.187  0.250
Ga  0.322  0.678  0.016
Ga  0.678  0.322  0.984
Ga  0.687  0.813  0.750
Ga  0.813  0.687  0.250
Ga  0.822  0.178  0.484
Cu  0.000  0.000  0.500
Cu  0.017  0.483  0.750
Cu  0.483  0.017  0.250
Cu  0.500  0.500  0.000
Cu  0.517  0.983  0.750
Cu  0.983  0.517  0.250

---

# 2
A plane-wave DFT calculation with PBE-GGA was carried out for a relaxed structure of Er3Ga5Cu6.

Magnetization in μB per formula unit: 0.000
Density of states at the Fermi level in states/eV/atom: 0.506
Crystal system: orthorhombic
Energy relative to the elements in eV/atom: -0.424

Cell lengths 4.156, 12.316, 9.113 Å; angles 90.00, 90.00, 90.00 degrees
Positions (direct):
Er  0.250  0.055  0.246
Er  0.250  0.445  0.246
Er  0.250  0.750  0.261
Er  0.750  0.250  0.739
Er  0.750  0.555  0.754
Er  0.750  0.945  0.754
Ga  0.250  0.080  0.601
Ga  0.250  0.420  0.601
Ga  0.250  0.613  0.983
Ga  0.250  0.750  0.753
Ga  0.250  0.887  0.983
Ga  0.750  0.113  0.017
Ga  0.750  0.250  0.247
Ga  0.750  0.387  0.017
Ga  0.750  0.580  0.399
Ga  0.750  0.920  0.399
Cu  0.250  0.087  0.875
Cu  0.250  0.250  0.044
Cu  0.250  0.250  0.447
Cu  0.250  0.413  0.875
Cu  0.250  0.625  0.534
Cu  0.250  0.875  0.534
Cu  0.750  0.125  0.466
Cu  0.750  0.375  0.466
Cu  0.750  0.587  0.125
Cu  0.750  0.750  0.553
Cu  0.750  0.750  0.956
Cu  0.750  0.913  0.125

---

no.,E_tot (eV per formula unit)
1,-37.3
2,-59.3